Entry 1:
Computed, not measured: an optimized crystal structure of CsBaSr2Ag at the PBE-GGA level of DFT.

Properties
DFT formation energy in eV/atom: -0.032
Size of the total moment in Bohr magnetons per cell: 0.0
Calculated volume in A^3/atom: 56.82
Fermi-level density of states in states/eV/f.u.: 4.15

Structure (POSCAR):
```
CsBaSr2Ag
1.0
6.508 0.000 0.000
0.000 6.508 0.000
0.000 0.000 6.709
Cs Ba Sr Ag
1 1 2 1
direct
0.000 0.000 0.000 Cs
0.500 0.500 0.000 Ba
0.000 0.500 0.500 Sr
0.500 0.000 0.500 Sr
0.500 0.500 0.500 Ag
```

=====

Entry 2:
Computed, not measured: an optimized crystal structure of Rb2TiPd at the PBE-GGA level of DFT.

Properties
DFT formation energy in eV/atom: 0.603
Size of the total moment in Bohr magnetons per cell: 4.8
Calculated volume in A^3/atom: 51.85
Energy above the lowest structure with this stoichiometry in meV/atom: 0
Fermi-level density of states in states/eV/f.u.: 5.06

Structure (POSCAR):
```
Rb2TiPd
1.0
-6.493 6.493 2.460
6.493 -6.493 2.460
6.493 6.493 -2.460
Rb Ti Pd
4 2 2
direct
0.375 0.210 0.335 Rb
0.790 0.125 0.165 Rb
0.875 0.040 0.665 Rb
0.960 0.625 0.835 Rb
0.250 0.750 0.500 Ti
0.500 0.500 0.000 Ti
0.000 0.000 0.000 Pd
0.750 0.250 0.500 Pd
```

=====

Entry 3:
Computed, not measured: an optimized crystal structure of ZrI3Cl at the PBE-GGA level of DFT.

Properties
Size of the total moment in Bohr magnetons per cell: 0.0
Raw formation energy in meV/atom: 870
Calculated volume in A^3/atom: 35.73
Energy above the lowest structure with this stoichiometry in meV/atom: 1928
Fermi-level density of states in states/eV/f.u.: 17.56

Structure (POSCAR):
```
ZrI3Cl
1.0
5.632 0.000 0.000
0.000 5.632 0.000
0.000 0.000 5.632
Zr I Cl
1 3 1
direct
0.000 0.000 0.000 Zr
0.000 0.500 0.500 I
0.500 0.000 0.500 I
0.500 0.500 0.000 I
0.500 0.500 0.500 Cl
```

=====

Entry 4:
Computed, not measured: an optimized crystal structure of La6Cd2Au at the PBE-GGA level of DFT.

Properties
DFT formation energy in eV/atom: -0.316
Size of the total moment in Bohr magnetons per cell: 0.0
Calculated volume in A^3/atom: 31.91
Energy above the lowest structure with this stoichiometry in meV/atom: 0
Fermi-level density of states in states/eV/f.u.: 10.95

Structure (POSCAR):
```
La6Cd2Au
1.0
3.911 0.000 0.000
0.000 7.977 4.603
0.000 -7.977 4.603
La Cd Au
6 2 1
direct
0.000 0.000 0.000 La
0.000 0.484 0.742 La
0.000 0.742 0.484 La
0.500 0.140 0.742 La
0.500 0.344 0.344 La
0.500 0.742 0.140 La
0.000 0.076 0.409 Cd
0.000 0.409 0.076 Cd
0.500 0.742 0.742 Au
```

=====

Entry 5:
Computed, not measured: an optimized crystal structure of FeNiSbTe2 at the PBE-GGA level of DFT.

Properties
Size of the total moment in Bohr magnetons per cell: 1.7
Raw formation energy in meV/atom: 793
Calculated volume in A^3/atom: 24.38
Energy above the lowest structure with this stoichiometry in meV/atom: 77
Fermi-level density of states in states/eV/f.u.: 6.50

Structure (POSCAR):
```
FeNiSbTe2
1.0
5.054 0.000 0.000
0.000 5.054 0.000
0.000 0.000 4.773
Fe Ni Sb Te
1 1 1 2
direct
0.000 0.000 0.000 Fe
0.500 0.500 0.500 Ni
0.000 0.000 0.500 Sb
0.000 0.500 0.000 Te
0.500 0.000 0.000 Te
```

=====

Entry 6:
Computed, not measured: an optimized crystal structure of LiSnPb2 at the PBE-GGA level of DFT.

Properties
DFT formation energy in eV/atom: 0.024
Size of the total moment in Bohr magnetons per cell: 0.0
Calculated volume in A^3/atom: 28.72
Fermi-level density of states in states/eV/f.u.: 2.33

Structure (POSCAR):
```
LiSnPb2
1.0
-4.231 4.231 3.208
4.231 -4.231 3.208
4.231 4.231 -3.208
Li Sn Pb
2 2 4
direct
0.000 0.000 0.000 Li
0.750 0.250 0.500 Li
0.250 0.750 0.500 Sn
0.500 0.500 0.000 Sn
0.131 0.125 0.506 Pb
0.375 0.869 0.994 Pb
0.619 0.625 0.494 Pb
0.875 0.381 0.006 Pb
```

=====

Entry 7:
Computed, not measured: an optimized crystal structure of ScCrAu2 at the PBE-GGA level of DFT.

Properties
DFT formation energy in eV/atom: -0.236
Size of the total moment in Bohr magnetons per cell: 3.6
Calculated volume in A^3/atom: 17.72
Fermi-level density of states in states/eV/f.u.: 2.63

Structure (POSCAR):
```
ScCrAu2
1.0
0.000 3.285 3.285
3.285 0.000 3.285
3.285 3.285 0.000
Sc Cr Au
1 1 2
direct
0.000 0.000 0.000 Sc
0.250 0.250 0.250 Cr
0.500 0.500 0.500 Au
0.750 0.750 0.750 Au
```

=====

Entry 8:
Computed, not measured: an optimized crystal structure of TaTcAg2 at the PBE-GGA level of DFT.

Properties
DFT formation energy in eV/atom: 0.276
Size of the total moment in Bohr magnetons per cell: 0.0
Calculated volume in A^3/atom: 16.61
Energy above the lowest structure with this stoichiometry in meV/atom: 98
Fermi-level density of states in states/eV/f.u.: 1.14

Structure (POSCAR):
```
TaTcAg2
1.0
3.807 0.000 0.000
0.000 3.807 0.000
0.000 0.000 4.586
Ta Tc Ag
1 1 2
direct
0.000 0.000 0.000 Ta
0.500 0.500 0.000 Tc
0.000 0.500 0.500 Ag
0.500 0.000 0.500 Ag
```

=====

Entry 9:
Computed, not measured: an optimized crystal structure of In2BiI at the PBE-GGA level of DFT.

Properties
Size of the total moment in Bohr magnetons per cell: 0.0
Raw formation energy in meV/atom: -70
Calculated volume in A^3/atom: 36.53
Energy above the lowest structure with this stoichiometry in meV/atom: 71
Fermi-level density of states in states/eV/f.u.: 1.66

Structure (POSCAR):
```
In2BiI
1.0
2.309 1.333 7.909
-2.309 1.333 7.909
0.000 -2.667 7.909
In Bi I
2 1 1
direct
0.000 0.000 0.000 In
0.197 0.197 0.197 In
0.601 0.601 0.601 Bi
0.427 0.427 0.427 I
```

=====

Entry 10:
Computed, not measured: an optimized crystal structure of LiAlNi2 at the PBE-GGA level of DFT.

Properties
DFT formation energy in eV/atom: -0.180
Size of the total moment in Bohr magnetons per cell: 0.0
Calculated volume in A^3/atom: 12.38
Fermi-level density of states in states/eV/f.u.: 3.91

Structure (POSCAR):
```
LiAlNi2
1.0
1.329 0.767 8.089
-1.329 0.767 8.089
0.000 -1.535 8.089
Li Al Ni
1 1 2
direct
0.000 0.000 0.000 Li
0.500 0.500 0.500 Al
0.246 0.246 0.246 Ni
0.754 0.754 0.754 Ni
```

=====

Entry 11:
Computed, not measured: an optimized crystal structure of Rb2NaHg2Cl6 at the PBE-GGA level of DFT.

Properties
Size of the total moment in Bohr magnetons per cell: 0.0
Raw formation energy in meV/atom: -1217
Calculated volume in A^3/atom: 34.36
Fermi-level density of states in states/eV/f.u.: 5.40

Structure (POSCAR):
```
Rb2NaHg2Cl6
1.0
6.515 -3.931 0.000
6.515 3.931 0.000
-4.130 0.000 7.378
Rb Na Hg Cl
2 1 2 6
direct
0.217 0.217 0.174 Rb
0.783 0.783 0.826 Rb
0.000 0.000 0.500 Na
0.452 0.452 0.812 Hg
0.548 0.548 0.188 Hg
0.167 0.700 0.206 Cl
0.239 0.239 0.576 Cl
0.300 0.833 0.794 Cl
0.700 0.167 0.206 Cl
0.761 0.761 0.424 Cl
0.833 0.300 0.794 Cl
```

=====

Entry 12:
Computed, not measured: an optimized crystal structure of Pr5Er12Th2 at the PBE-GGA level of DFT.

Properties
DFT formation energy in eV/atom: 0.113
Size of the total moment in Bohr magnetons per cell: 0.0
Calculated volume in A^3/atom: 32.82
Fermi-level density of states in states/eV/f.u.: 29.32

Structure (POSCAR):
```
Pr5Er12Th2
1.0
6.169 0.000 0.000
1.727 9.671 0.000
3.012 4.021 10.452
Pr Er Th
5 12 2
direct
0.000 0.000 0.000 Pr
0.006 0.964 0.349 Pr
0.445 0.534 0.836 Pr
0.555 0.466 0.164 Pr
0.994 0.036 0.651 Pr
0.052 0.301 0.046 Er
0.055 0.327 0.332 Er
0.167 0.318 0.727 Er
0.430 0.828 0.112 Er
0.470 0.897 0.789 Er
0.479 0.807 0.519 Er
0.521 0.193 0.481 Er
0.530 0.103 0.211 Er
0.570 0.172 0.888 Er
0.833 0.682 0.273 Er
0.945 0.673 0.668 Er
0.948 0.699 0.954 Er
0.273 0.570 0.425 Th
0.727 0.430 0.575 Th
```

=====

Entry 13:
Computed, not measured: an optimized crystal structure of Ba2ZrSb at the PBE-GGA level of DFT.

Properties
Size of the total moment in Bohr magnetons per cell: 0.5
Raw formation energy in meV/atom: 211
Calculated volume in A^3/atom: 37.27
Fermi-level density of states in states/eV/f.u.: 3.58

Structure (POSCAR):
```
Ba2ZrSb
1.0
-4.857 4.857 3.159
4.857 -4.857 3.159
4.857 4.857 -3.159
Ba Zr Sb
4 2 2
direct
0.096 0.625 0.971 Ba
0.375 0.346 0.471 Ba
0.654 0.125 0.029 Ba
0.875 0.904 0.529 Ba
0.250 0.750 0.500 Zr
0.500 0.500 0.000 Zr
0.000 0.000 0.000 Sb
0.750 0.250 0.500 Sb
```

=====

Entry 14:
Computed, not measured: an optimized crystal structure of ZrIN2O at the PBE-GGA level of DFT.

Properties
Size of the total moment in Bohr magnetons per cell: 0.0
Raw formation energy in meV/atom: 1405
Calculated volume in A^3/atom: 13.88
Fermi-level density of states in states/eV/f.u.: 2.39

Structure (POSCAR):
```
ZrIN2O
1.0
4.176 0.000 0.000
0.000 4.176 0.000
0.000 0.000 3.981
Zr I N O
1 1 2 1
direct
0.000 0.000 0.000 Zr
0.500 0.500 0.000 I
0.000 0.500 0.500 N
0.500 0.000 0.500 N
0.500 0.500 0.500 O
```

=====

Entry 15:
Computed, not measured: an optimized crystal structure of AsOs2Rh at the PBE-GGA level of DFT.

Properties
DFT formation energy in eV/atom: 0.413
Size of the total moment in Bohr magnetons per cell: 0.0
Calculated volume in A^3/atom: 14.49
Fermi-level density of states in states/eV/f.u.: 4.88

Structure (POSCAR):
```
AsOs2Rh
1.0
2.943 0.000 0.000
0.000 2.943 0.000
0.000 0.000 6.692
As Os Rh
1 2 1
direct
0.000 0.000 0.000 As
0.500 0.500 0.224 Os
0.500 0.500 0.776 Os
0.000 0.000 0.500 Rh
```

=====

Entry 16:
Computed, not measured: an optimized crystal structure of CuTcBiMo2 at the PBE-GGA level of DFT.

Properties
DFT formation energy in eV/atom: 1.608
Size of the total moment in Bohr magnetons per cell: 2.1
Calculated volume in A^3/atom: 23.22
Fermi-level density of states in states/eV/f.u.: 5.36

Structure (POSCAR):
```
CuTcBiMo2
1.0
4.728 0.000 0.000
0.000 4.728 0.000
0.000 0.000 5.194
Cu Tc Bi Mo
1 1 1 2
direct
0.000 0.000 0.000 Cu
0.500 0.500 0.500 Tc
0.500 0.500 0.000 Bi
0.000 0.500 0.500 Mo
0.500 0.000 0.500 Mo
```

=====

Entry 17:
Computed, not measured: an optimized crystal structure of La2AsNCl at the PBE-GGA level of DFT.

Properties
Size of the total moment in Bohr magnetons per cell: 0.0
Raw formation energy in meV/atom: -1046
Calculated volume in A^3/atom: 22.03
Fermi-level density of states in states/eV/f.u.: 2.23

Structure (POSCAR):
```
La2AsNCl
1.0
5.107 0.000 0.000
0.000 5.107 0.000
0.000 0.000 4.222
La As N Cl
2 1 1 1
direct
0.000 0.500 0.000 La
0.500 0.000 0.000 La
0.000 0.000 0.500 As
0.000 0.000 0.000 N
0.500 0.500 0.500 Cl
```

=====

Entry 18:
Computed, not measured: an optimized crystal structure of TbCeScSe3 at the PBE-GGA level of DFT.

Properties
Size of the total moment in Bohr magnetons per cell: 3.2
Raw formation energy in meV/atom: -1574
Calculated volume in A^3/atom: 25.65
Fermi-level density of states in states/eV/f.u.: 8.67

Structure (POSCAR):
```
TbCeScSe3
1.0
8.404 0.000 0.000
0.000 4.044 0.000
-2.299 0.000 9.058
Tb Ce Sc Se
2 2 2 6
direct
0.155 0.250 0.134 Tb
0.845 0.750 0.866 Tb
0.322 0.750 0.787 Ce
0.678 0.250 0.213 Ce
0.391 0.750 0.400 Sc
0.609 0.250 0.600 Sc
0.065 0.250 0.815 Se
0.269 0.250 0.521 Se
0.400 0.750 0.119 Se
0.600 0.250 0.881 Se
0.731 0.750 0.479 Se
0.935 0.750 0.185 Se
```

=====

Entry 19:
Computed, not measured: an optimized crystal structure of RbCdInPb at the PBE-GGA level of DFT.

Properties
DFT formation energy in eV/atom: -0.068
Size of the total moment in Bohr magnetons per cell: 0.0
Calculated volume in A^3/atom: 38.04
Energy above the lowest structure with this stoichiometry in meV/atom: 0
Fermi-level density of states in states/eV/f.u.: 1.17

Structure (POSCAR):
```
RbCdInPb
1.0
2.514 1.451 6.951
-2.514 1.451 6.951
0.000 -2.903 6.951
Rb Cd In Pb
1 1 1 1
direct
0.000 0.000 0.000 Rb
0.500 0.500 0.500 Cd
0.215 0.215 0.215 In
0.790 0.790 0.790 Pb
```

=====

Entry 20:
Computed, not measured: an optimized crystal structure of YBiCl6 at the PBE-GGA level of DFT.

Properties
Size of the total moment in Bohr magnetons per cell: 0.0
Raw formation energy in meV/atom: -1603
Calculated volume in A^3/atom: 34.25
Energy above the lowest structure with this stoichiometry in meV/atom: 0
Fermi-level density of states in states/eV/f.u.: 0.00

Structure (POSCAR):
```
YBiCl6
1.0
3.358 -6.331 0.000
3.358 6.331 0.000
-1.881 0.000 6.445
Y Bi Cl
1 1 6
direct
0.000 0.000 0.000 Y
0.500 0.500 0.500 Bi
0.102 0.387 0.244 Cl
0.247 0.247 0.753 Cl
0.387 0.102 0.244 Cl
0.613 0.898 0.756 Cl
0.753 0.753 0.247 Cl
0.898 0.613 0.756 Cl
```